Material: SbIr2W
Method: DFT, GGA-PBE
State: optimized geometry

Unit cell a=7.044 b=7.044 c=7.044 alpha=131.02 beta=131.02 gamma=71.78
Fractional coordinates of all 8 atoms:
Sb 0.000 0.000 0.000
Sb 0.750 0.250 0.500
Ir 0.145 0.625 0.020
Ir 0.375 0.395 0.520
Ir 0.605 0.125 0.980
Ir 0.875 0.855 0.480
W 0.250 0.750 0.500
W 0.500 0.500 0.000

Formation energy without anion corrections (eV/atom): 0.58
Calculated total energy (eV per atom): -8.12